# 1
TlPdS5 | PBE | optimized geometry

Results
For the volume, the calculation gives 401 Å³ per cell. As for the uncorrected formation energy: 0.073 eV/atom.

```
data_TlPdS5
_chemical_formula_sum 'Tl2 Pd2 S10'
_symmetry_space_group_name_H-M 'P 1'
_symmetry_Int_Tables_number 1
_cell_length_a 10.516
_cell_length_b 10.516
_cell_length_c 7.589
_cell_angle_alpha 94.90
_cell_angle_beta 94.90
_cell_angle_gamma 149.65
loop_
_symmetry_equiv_pos_as_xyz
'x,y,z'
loop_
_atom_site_label
_atom_site_type_symbol
_atom_site_fract_x
_atom_site_fract_y
_atom_site_fract_z
Tl1 Tl 0.225 0.775 0.750
Tl2 Tl 0.775 0.225 0.250
Pd1 Pd 0.000 0.500 0.000
Pd2 Pd 0.500 0.000 0.500
S1 S 0.036 0.923 0.524
S2 S 0.077 0.964 0.976
S3 S 0.191 0.809 0.250
S4 S 0.243 0.373 0.388
S5 S 0.373 0.243 0.888
S6 S 0.627 0.757 0.112
S7 S 0.757 0.627 0.612
S8 S 0.809 0.191 0.750
S9 S 0.923 0.036 0.024
S10 S 0.964 0.077 0.476
```


# 2
PmDy2Sc | PBE | optimized geometry

Results
The value obtained for the energy relative to the lowest polymorph listed for this composition is 0 meV per atom. For the volume, the calculation gives 123 Å³ per cell. For the formation energy, the calculation gives 0.0299 eV/atom.

```
data_PmDy2Sc
_chemical_formula_sum 'Pm1 Dy2 Sc1'
_symmetry_space_group_name_H-M 'P 1'
_symmetry_Int_Tables_number 1
_cell_length_a 6.618
_cell_length_b 6.618
_cell_length_c 6.618
_cell_angle_alpha 148.59
_cell_angle_beta 64.80
_cell_angle_gamma 124.91
loop_
_symmetry_equiv_pos_as_xyz
'x,y,z'
loop_
_atom_site_label
_atom_site_type_symbol
_atom_site_fract_x
_atom_site_fract_y
_atom_site_fract_z
Pm1 Pm 0.000 0.000 0.000
Dy1 Dy 0.104 0.347 0.757
Dy2 Dy 0.589 0.347 0.243
Sc1 Sc 0.508 0.008 0.500
```


# 3
TaTlAs2 | PBE | optimized geometry

Results
The value obtained for the energy relative to the lowest polymorph listed for this composition is 612 meV per atom. For the volume, the calculation gives 81 Å³ per cell. For the formation energy, the calculation gives 0.4708 eV/atom.

```
data_TaTlAs2
_chemical_formula_sum 'Ta1 Tl1 As2'
_symmetry_space_group_name_H-M 'P 1'
_symmetry_Int_Tables_number 1
_cell_length_a 4.857
_cell_length_b 4.857
_cell_length_c 4.857
_cell_angle_alpha 60.00
_cell_angle_beta 60.00
_cell_angle_gamma 60.00
loop_
_symmetry_equiv_pos_as_xyz
'x,y,z'
loop_
_atom_site_label
_atom_site_type_symbol
_atom_site_fract_x
_atom_site_fract_y
_atom_site_fract_z
Ta1 Ta 0.000 0.000 0.000
Tl1 Tl 0.500 0.500 0.500
As1 As 0.250 0.250 0.250
As2 As 0.750 0.750 0.750
```


# 4
TcHPb2O6 | PBE | optimized geometry

Results
For the volume, the calculation gives 262 Å³ per cell. The calculated total energy comes out at -120.14 eV per cell.

```
data_TcHPb2O6
_chemical_formula_sum 'Tc2 H2 Pb4 O12'
_symmetry_space_group_name_H-M 'P 1'
_symmetry_Int_Tables_number 1
_cell_length_a 5.582
_cell_length_b 4.524
_cell_length_c 11.792
_cell_angle_alpha 90.00
_cell_angle_beta 118.18
_cell_angle_gamma 90.00
loop_
_symmetry_equiv_pos_as_xyz
'x,y,z'
loop_
_atom_site_label
_atom_site_type_symbol
_atom_site_fract_x
_atom_site_fract_y
_atom_site_fract_z
Tc1 Tc 0.000 0.000 0.000
Tc2 Tc 0.000 0.500 0.500
H1 H 0.500 0.000 0.500
H2 H 0.500 0.500 0.000
Pb1 Pb 0.318 0.002 0.818
Pb2 Pb 0.318 0.498 0.318
Pb3 Pb 0.682 0.502 0.682
Pb4 Pb 0.682 0.998 0.182
O1 O 0.016 0.728 0.370
O2 O 0.016 0.772 0.870
O3 O 0.276 0.727 0.632
O4 O 0.276 0.773 0.132
O5 O 0.344 0.229 0.501
O6 O 0.344 0.271 0.001
O7 O 0.656 0.729 0.999
O8 O 0.656 0.771 0.499
O9 O 0.724 0.227 0.868
O10 O 0.724 0.273 0.368
O11 O 0.984 0.228 0.130
O12 O 0.984 0.272 0.630
```


# 5
LaAsOs2 | PBE | optimized geometry

Results
For the volume, the calculation gives 77 Å³ per cell. For the formation energy, the calculation gives 0.5278 eV/atom.

```
data_LaAsOs2
_chemical_formula_sum 'La1 As1 Os2'
_symmetry_space_group_name_H-M 'P 1'
_symmetry_Int_Tables_number 1
_cell_length_a 3.073
_cell_length_b 4.004
_cell_length_c 6.231
_cell_angle_alpha 90.00
_cell_angle_beta 90.00
_cell_angle_gamma 90.00
loop_
_symmetry_equiv_pos_as_xyz
'x,y,z'
loop_
_atom_site_label
_atom_site_type_symbol
_atom_site_fract_x
_atom_site_fract_y
_atom_site_fract_z
La1 La 0.000 0.000 0.000
As1 As 0.000 0.000 0.500
Os1 Os 0.500 0.500 0.300
Os2 Os 0.500 0.500 0.700
```


# 6
SbRhIN2 | PBE | optimized geometry

Results
The value obtained for the energy relative to the lowest polymorph listed for this composition is 65 meV per atom. For the volume, the calculation gives 109 Å³ per cell. As for the uncorrected formation energy: 1.504 eV/atom.

```
data_SbRhIN2
_chemical_formula_sum 'Sb1 Rh1 I1 N2'
_symmetry_space_group_name_H-M 'P 1'
_symmetry_Int_Tables_number 1
_cell_length_a 3.964
_cell_length_b 3.964
_cell_length_c 6.943
_cell_angle_alpha 90.00
_cell_angle_beta 90.00
_cell_angle_gamma 90.00
loop_
_symmetry_equiv_pos_as_xyz
'x,y,z'
loop_
_atom_site_label
_atom_site_type_symbol
_atom_site_fract_x
_atom_site_fract_y
_atom_site_fract_z
Sb1 Sb 0.000 0.000 0.000
Rh1 Rh 0.500 0.500 0.500
I1 I 0.000 0.000 0.500
N1 N 0.000 0.500 0.000
N2 N 0.500 0.000 0.000
```